A plane-wave DFT calculation with PBE-GGA was carried out for crystalline K2U3RhO12 at its relaxed geometry.

The value obtained for the magnetic moment is 3.09 Bohr magnetons per cell. The uncorrected formation energy is -2.494 eV per atom. As for the density of states at the Fermi level: 26.0 states/eV/cell.

It has space group R-3m (No. 166, hexagonal axes), with a = 7.9111 Å, b = 7.9111 Å, c = 18.0467 Å, α = 90.00°, β = 90.00° and γ = 120.00°. The asymmetric unit holds K at (0.0000, 0.0000, 0.1479), U at (0.0000, 0.5000, 0.0000), Rh at (0.0000, 0.0000, 0.5000), O at (0.0823, 0.5411, 0.3633) and O at (0.0913, 0.5457, 0.1056).